(1)
The following is a GGA-PBE calculation of an optimized crystal structure of CuAg, from OQMD.

Output
Calculated formation energy   0.2 eV/f.u.

```
data_CuAg
_chemical_formula_sum 'Cu5 Ag5'
_symmetry_space_group_name_H-M 'P 1'
_symmetry_Int_Tables_number 1
_symmetry_space_group_name_Hall 'P 1'
_cell_length_a 6.125
_cell_length_b 3.886
_cell_length_c 6.278
_cell_angle_alpha 90.00
_cell_angle_beta 90.80
_cell_angle_gamma 90.00
loop_
_atom_site_label
_atom_site_fract_x
_atom_site_fract_y
_atom_site_fract_z
Ag1 0.292 0.000 0.098
Ag2 0.613 0.500 0.211
Ag3 0.191 0.500 0.400
Ag4 0.102 0.000 0.698
Ag5 0.701 0.000 0.894
Cu1 0.894 0.000 0.306
Cu2 0.513 0.000 0.508
Cu3 0.789 0.500 0.601
Cu4 0.406 0.500 0.789
Cu5 0.000 0.500 0.996
```

---

(2)
The following is a GGA-PBE calculation of an optimized crystal structure of Cu3Ag2, from OQMD.

Output
Distance to the lowest polymorph of the same formula   45 meV per atom
Calculated formation energy   0.4 eV/f.u.

```
data_Cu3Ag2
_chemical_formula_sum 'Cu6 Ag4'
_symmetry_space_group_name_H-M 'P 1'
_symmetry_Int_Tables_number 1
_symmetry_space_group_name_Hall 'P 1'
_cell_length_a 4.642
_cell_length_b 4.767
_cell_length_c 7.187
_cell_angle_alpha 106.74
_cell_angle_beta 102.31
_cell_angle_gamma 100.82
loop_
_atom_site_label
_atom_site_fract_x
_atom_site_fract_y
_atom_site_fract_z
Ag1 0.021 0.086 0.326
Ag2 0.345 0.693 0.438
Ag3 0.655 0.307 0.562
Ag4 0.979 0.914 0.674
Cu1 0.153 0.314 0.046
Cu2 0.428 0.893 0.128
Cu3 0.724 0.485 0.225
Cu4 0.276 0.515 0.775
Cu5 0.572 0.107 0.872
Cu6 0.847 0.686 0.954
```

---

(3)
The following is a GGA-PBE calculation of an optimized crystal structure of CuAg, from OQMD.

Output
Calculated formation energy   0.2 eV/f.u.

```
data_CuAg
_chemical_formula_sum 'Cu5 Ag5'
_symmetry_space_group_name_H-M 'P 1'
_symmetry_Int_Tables_number 1
_symmetry_space_group_name_Hall 'P 1'
_cell_length_a 4.790
_cell_length_b 4.790
_cell_length_c 11.739
_cell_angle_alpha 99.82
_cell_angle_beta 99.82
_cell_angle_gamma 33.88
loop_
_atom_site_label
_atom_site_fract_x
_atom_site_fract_y
_atom_site_fract_z
Ag1 0.311 0.311 0.075
Ag2 0.605 0.605 0.192
Ag3 0.898 0.898 0.302
Ag4 0.497 0.497 0.511
Ag5 0.789 0.789 0.620
Cu1 0.197 0.197 0.406
Cu2 0.084 0.084 0.717
Cu3 0.401 0.401 0.812
Cu4 0.700 0.700 0.884
Cu5 0.017 0.017 0.981
```

---

(4)
The following is a GGA-PBE calculation of an optimized crystal structure of Cu3Ag7, from OQMD.

Output
Distance to the lowest polymorph of the same formula   52 meV per atom
Calculated formation energy   0.8 eV/f.u.

```
data_Cu3Ag7
_chemical_formula_sum 'Cu3 Ag7'
_symmetry_space_group_name_H-M 'P 1'
_symmetry_Int_Tables_number 1
_symmetry_space_group_name_Hall 'P 1'
_cell_length_a 4.927
_cell_length_b 4.951
_cell_length_c 7.490
_cell_angle_alpha 108.37
_cell_angle_beta 102.67
_cell_angle_gamma 100.17
loop_
_atom_site_label
_atom_site_fract_x
_atom_site_fract_y
_atom_site_fract_z
Ag1 0.288 0.597 0.095
Ag2 0.597 0.198 0.195
Ag3 0.898 0.802 0.296
Ag4 0.205 0.399 0.399
Ag5 0.799 0.596 0.608
Ag6 0.099 0.195 0.704
Ag7 0.414 0.812 0.803
Cu1 0.503 0.005 0.506
Cu2 0.704 0.398 0.897
Cu3 0.993 0.997 0.998
```

---

(5)
The following is a GGA-PBE calculation of an optimized crystal structure of Cu3Ag7, from OQMD.

Output
Distance to the lowest polymorph of the same formula   51 meV per atom
Calculated formation energy   0.8 eV/f.u.

```
data_Cu3Ag7
_chemical_formula_sum 'Cu3 Ag7'
_symmetry_space_group_name_H-M 'P 1'
_symmetry_Int_Tables_number 1
_symmetry_space_group_name_Hall 'P 1'
_cell_length_a 10.235
_cell_length_b 10.235
_cell_length_c 4.013
_cell_angle_alpha 90.00
_cell_angle_beta 90.00
_cell_angle_gamma 157.18
loop_
_atom_site_label
_atom_site_fract_x
_atom_site_fract_y
_atom_site_fract_z
Ag1 0.601 0.399 0.000
Ag2 0.399 0.601 0.000
Ag3 0.899 0.101 0.500
Ag4 0.703 0.297 0.500
Ag5 0.500 0.500 0.500
Ag6 0.297 0.703 0.500
Ag7 0.101 0.899 0.500
Cu1 0.000 0.000 0.000
Cu2 0.797 0.203 0.000
Cu3 0.203 0.797 0.000
```

---

(6)
The following is a GGA-PBE calculation of an optimized crystal structure of Cu3Ag2, from OQMD.

Output
Distance to the lowest polymorph of the same formula   50 meV per atom
Calculated formation energy   0.5 eV/f.u.

```
data_Cu3Ag2
_chemical_formula_sum 'Cu6 Ag4'
_symmetry_space_group_name_H-M 'P 1'
_symmetry_Int_Tables_number 1
_symmetry_space_group_name_Hall 'P 1'
_cell_length_a 7.297
_cell_length_b 7.297
_cell_length_c 7.472
_cell_angle_alpha 104.98
_cell_angle_beta 104.98
_cell_angle_gamma 21.81
loop_
_atom_site_label
_atom_site_fract_x
_atom_site_fract_y
_atom_site_fract_z
Ag1 0.196 0.196 0.086
Ag2 0.403 0.403 0.187
Ag3 0.796 0.796 0.411
Ag4 0.408 0.408 0.721
Cu1 0.011 0.011 0.010
Cu2 0.599 0.599 0.313
Cu3 0.006 0.006 0.501
Cu4 0.191 0.191 0.606
Cu5 0.598 0.598 0.785
Cu6 0.792 0.792 0.880
```

---

(7)
The following is a GGA-PBE calculation of an optimized crystal structure of CuAg, from OQMD.

Output
Calculated formation energy   0.2 eV/f.u.

```
data_CuAg
_chemical_formula_sum 'Cu5 Ag5'
_symmetry_space_group_name_H-M 'P 1'
_symmetry_Int_Tables_number 1
_symmetry_space_group_name_Hall 'P 1'
_cell_length_a 7.487
_cell_length_b 7.487
_cell_length_c 5.612
_cell_angle_alpha 100.72
_cell_angle_beta 100.72
_cell_angle_gamma 28.96
loop_
_atom_site_label
_atom_site_fract_x
_atom_site_fract_y
_atom_site_fract_z
Ag1 0.411 0.411 0.204
Ag2 0.795 0.795 0.393
Ag3 0.187 0.187 0.594
Ag4 0.411 0.411 0.706
Ag5 0.795 0.795 0.902
Cu1 0.012 0.012 0.006
Cu2 0.188 0.188 0.094
Cu3 0.598 0.598 0.284
Cu4 0.006 0.006 0.503
Cu5 0.598 0.598 0.814
```

---

(8)
The following is a GGA-PBE calculation of an optimized crystal structure of Cu2Ag7, from OQMD.

Output
Distance to the lowest polymorph of the same formula   35 meV per atom
Calculated formation energy   0.6 eV/f.u.

```
data_Cu2Ag7
_chemical_formula_sum 'Cu2 Ag7'
_symmetry_space_group_name_H-M 'P 1'
_symmetry_Int_Tables_number 1
_symmetry_space_group_name_Hall 'P 1'
_cell_length_a 4.970
_cell_length_b 4.996
_cell_length_c 6.382
_cell_angle_alpha 83.25
_cell_angle_beta 75.34
_cell_angle_gamma 79.89
loop_
_atom_site_label
_atom_site_fract_x
_atom_site_fract_y
_atom_site_fract_z
Ag1 0.323 0.670 0.158
Ag2 0.557 0.106 0.268
Ag3 0.780 0.551 0.377
Ag4 0.000 0.000 0.500
Ag5 0.220 0.449 0.623
Ag6 0.443 0.894 0.732
Ag7 0.677 0.330 0.842
Cu1 0.106 0.223 0.053
Cu2 0.894 0.777 0.947
```